No. 1
Fe2Os, optimized geometry, DFT PBE-GGA; calculated density = 14.066 g cm⁻³; symmetry = No. 194; DFT formation energy = 0.37 eV per formula unit
1.0
4.672 0.000 0.000
2.336 4.046 0.000
0.000 0.000 7.544
Fe Os
8 4
direct
0.000 0.000 0.500
0.658 0.171 0.250
0.342 0.829 0.750
0.829 0.829 0.750
0.171 0.658 0.250
0.000 0.000 0.000
0.829 0.342 0.750
0.171 0.171 0.250
0.333 0.333 0.561
0.667 0.667 0.061
0.667 0.667 0.439
0.333 0.333 0.939

***

No. 2
Fe5Os4, optimized geometry, DFT PBE-GGA; calculated density = 15.237 g cm⁻³; symmetry = No. 139; DFT formation energy = 1.21 eV per formula unit
1.0
-3.885 3.885 1.878
3.885 -3.885 1.878
3.885 3.885 -1.878
Fe Os
5 4
direct
0.662 0.338 0.000
0.000 0.000 0.000
0.662 0.662 0.325
0.338 0.662 0.000
0.338 0.338 0.675
0.000 0.327 0.327
0.327 0.000 0.327
0.673 0.000 0.673
0.000 0.673 0.673

***

No. 3
Fe2Os, optimized geometry, DFT PBE-GGA; calculated density = 13.970 g cm⁻³; symmetry = No. 191; DFT formation energy = 0.32 eV per formula unit
1.0
-0.152 3.986 0.521
-2.787 -1.844 -2.240
-1.456 -0.327 2.081
Fe Os
2 1
direct
0.667 0.333 0.000
0.333 0.667 0.000
0.000 0.000 0.500

***

No. 4
FeOs2, optimized geometry, DFT PBE-GGA; calculated density = 17.560 g cm⁻³; symmetry = No. 141; DFT formation energy = 1.15 eV per formula unit
1.0
-1.349 1.349 11.329
1.349 -1.349 11.329
1.349 1.349 -11.329
Os Fe
4 2
direct
0.576 0.576 0.000
0.424 0.424 0.000
0.174 0.674 0.500
0.326 0.826 0.500
0.750 0.250 0.500
0.000 0.000 0.000

***

No. 5
Fe4Os, optimized geometry, DFT PBE-GGA; calculated density = 7.809 g cm⁻³; symmetry = No. 221; DFT formation energy = 8.36 eV per formula unit
1.0
-0.104 -3.114 -3.174
2.437 -2.695 2.564
-3.719 -1.679 1.769
Fe Os
4 1
direct
0.500 0.000 0.500
0.000 0.500 0.500
0.000 0.000 0.000
0.500 0.500 0.000
0.500 0.500 0.500

***

No. 6
Fe2Os, optimized geometry, DFT PBE-GGA; calculated density = 12.395 g cm⁻³; symmetry = No. 140; DFT formation energy = 1.49 eV per formula unit
1.0
-0.374 -2.195 -4.186
3.036 -1.823 3.153
-4.284 -0.330 2.007
Os Fe
2 4
direct
0.750 0.750 0.000
0.250 0.250 0.000
0.638 0.862 0.500
0.138 0.638 0.777
0.862 0.362 0.223
0.362 0.138 0.500

***

No. 7
FeOs2, optimized geometry, DFT PBE-GGA; calculated density = 18.390 g cm⁻³; symmetry = No. 139; DFT formation energy = 0.51 eV per formula unit
1.0
2.676 0.000 0.000
-1.338 5.662 0.004
0.000 0.631 2.601
Os Fe
2 1
direct
0.662 0.323 0.338
0.338 0.677 0.662
0.000 0.000 0.000

***

No. 8
Fe2Os, optimized geometry, DFT PBE-GGA; calculated density = 13.768 g cm⁻³; symmetry = No. 63; DFT formation energy = 0.34 eV per formula unit
1.0
-5.174 -2.259 -1.110
4.738 -0.722 3.184
-1.462 2.051 2.641
Fe Os
4 2
direct
0.582 0.418 0.750
0.252 0.748 0.750
0.418 0.582 0.250
0.748 0.252 0.250
0.090 0.910 0.250
0.910 0.090 0.750

***

No. 9
FeOs5, optimized geometry, DFT PBE-GGA; calculated density = 20.223 g cm⁻³; symmetry = No. 38; DFT formation energy = 0.24 eV per formula unit
1.0
-0.983 -0.024 2.548
0.943 -6.900 1.762
3.909 0.922 1.516
Os Fe
5 1
direct
0.336 0.329 0.000
0.553 0.893 0.500
0.892 0.216 0.500
0.222 0.556 0.500
0.663 0.674 0.000
0.001 0.998 0.000

***

No. 10
Fe2Os, optimized geometry, DFT PBE-GGA; calculated density = 13.768 g cm⁻³; symmetry = No. 62; DFT formation energy = 0.36 eV per formula unit
1.0
-4.691 -1.710 1.038
1.118 -3.471 -0.664
1.931 -0.797 7.417
Fe Os
8 4
direct
0.878 0.750 0.753
0.621 0.250 0.919
0.121 0.250 0.581
0.622 0.250 0.253
0.879 0.750 0.419
0.379 0.750 0.081
0.122 0.250 0.247
0.378 0.750 0.747
0.134 0.250 0.914
0.366 0.750 0.414
0.634 0.250 0.586
0.866 0.750 0.086

***

No. 11
Fe2Os, optimized geometry, DFT PBE-GGA; calculated density = 12.421 g cm⁻³; symmetry = No. 189; DFT formation energy = 1.57 eV per formula unit
1.0
3.053 -5.289 0.000
3.053 5.289 0.000
0.000 0.000 3.749
Fe Os
6 3
direct
0.000 0.588 0.500
0.412 0.412 0.500
0.000 0.250 0.000
0.750 0.750 0.000
0.250 0.000 0.000
0.588 0.000 0.500
0.333 0.667 0.000
0.000 0.000 0.500
0.667 0.333 0.000

***

No. 12
Fe3Os2, optimized geometry, DFT PBE-GGA; calculated density = 12.445 g cm⁻³; symmetry = No. 164; DFT formation energy = 2.75 eV per formula unit
1.0
2.053 -3.555 0.000
2.053 3.555 0.000
0.000 0.000 5.009
Fe Os
3 2
direct
0.667 0.333 0.623
0.000 0.000 0.000
0.333 0.667 0.377
0.667 0.333 0.142
0.333 0.667 0.858

***

No. 13
FeOs2, optimized geometry, DFT PBE-GGA; calculated density = 17.943 g cm⁻³; symmetry = No. 71; DFT formation energy = 0.34 eV per formula unit
1.0
-4.236 1.202 -1.343
-3.653 -1.392 2.431
3.980 2.310 0.105
Fe Os
1 2
direct
0.000 0.000 0.000
0.667 0.667 0.000
0.333 0.333 0.000

***

No. 14
Fe3Os2, optimized geometry, DFT PBE-GGA; calculated density = 14.899 g cm⁻³; symmetry = No. 43; DFT formation energy = 1.06 eV per formula unit
1.0
0.000 4.322 6.217
2.273 0.000 6.217
2.273 4.322 0.000
Fe Os
6 4
direct
0.790 0.509 0.791
0.910 0.791 0.509
0.741 0.460 0.340
0.312 0.188 0.188
0.459 0.340 0.460
0.062 0.938 0.938
0.887 0.712 0.050
0.200 0.900 0.363
0.538 0.363 0.900
0.350 0.050 0.712

***

No. 15
FeOs5, optimized geometry, DFT PBE-GGA; calculated density = 20.227 g cm⁻³; symmetry = No. 8; DFT formation energy = 0.28 eV per formula unit
1.0
-1.377 1.999 1.255
-4.712 -0.184 -1.902
-2.882 -4.301 3.689
Os Fe
5 1
direct
0.945 0.111 0.385
0.610 0.780 0.728
0.279 0.442 0.055
0.335 0.331 0.669
0.665 0.670 0.330
0.000 0.000 0.000

***

No. 16
FeOs2, optimized geometry, DFT PBE-GGA; calculated density = 18.318 g cm⁻³; symmetry = No. 8; DFT formation energy = 0.23 eV per formula unit
1.0
2.700 0.000 0.000
-1.350 4.813 -0.003
0.000 1.422 6.088
Fe Os
2 4
direct
0.999 0.998 0.001
0.668 0.335 0.666
0.391 0.782 0.728
0.057 0.114 0.392
0.718 0.436 0.048
0.334 0.668 0.332

***

No. 17
FeOs2, optimized geometry, DFT PBE-GGA; calculated density = 15.603 g cm⁻³; symmetry = No. 194; DFT formation energy = 1.86 eV per formula unit
1.0
5.120 0.000 0.000
2.560 4.434 0.000
0.000 0.000 8.180
Os Fe
8 4
direct
0.350 0.825 0.750
0.175 0.650 0.250
0.000 0.000 0.500
0.175 0.175 0.250
0.000 0.000 0.000
0.825 0.825 0.750
0.650 0.175 0.250
0.825 0.350 0.750
0.667 0.667 0.408
0.333 0.333 0.908
0.333 0.333 0.592
0.667 0.667 0.092

***

No. 18
FeOs2, optimized geometry, DFT PBE-GGA; calculated density = 18.137 g cm⁻³; symmetry = No. 62; DFT formation energy = 0.57 eV per formula unit
1.0
-3.987 -0.335 3.269
0.981 -3.823 0.805
4.510 2.367 5.745
Fe Os
4 8
direct
0.790 0.750 0.117
0.710 0.250 0.617
0.210 0.250 0.883
0.290 0.750 0.383
0.314 0.750 0.060
0.558 0.250 0.288
0.686 0.250 0.940
0.186 0.250 0.560
0.058 0.250 0.212
0.942 0.750 0.788
0.814 0.750 0.440
0.442 0.750 0.712

***

No. 19
Fe3Os, optimized geometry, DFT PBE-GGA; calculated density = 11.756 g cm⁻³; symmetry = No. 166; DFT formation energy = 0.50 eV per formula unit
1.0
-1.084 -2.299 -0.043
3.213 -2.400 -2.755
-0.025 -1.014 4.759
Os Fe
1 3
direct
0.500 0.500 0.000
0.500 0.000 0.500
0.000 0.500 0.500
0.000 0.000 0.000

***

No. 20
Fe3Os, optimized geometry, DFT PBE-GGA; calculated density = 12.816 g cm⁻³; symmetry = No. 25; DFT formation energy = 0.28 eV per formula unit
1.0
-1.633 -1.539 -1.248
2.225 -3.218 1.056
-2.416 -0.450 3.717
Fe Os
3 1
direct
0.500 0.000 0.514
0.500 0.500 0.831
0.000 0.000 0.992
0.000 0.500 0.330